## Sr2MoO6 (PBE with a Hubbard U)

Data for a geometry-optimized Sr2MoO6 structure.

Geometry as POSCAR:
```
Sr2MoO6
1.0
5.7396 -2.9523 0.0000
5.7396 2.9523 0.0000
-0.9761 0.0000 3.7055
Sr Mo O
2 1 6
Direct
0.1684 0.1684 0.1799
0.8316 0.8316 0.8201
0.5000 0.5000 0.5000
0.1473 0.5870 0.3532
0.3026 0.6974 0.0000
0.4130 0.8527 0.6468
0.5870 0.1473 0.3532
0.6974 0.3026 0.0000
0.8527 0.4130 0.6468
```

Results
volume = 13.95 Å³/atom
energy = -6.209 eV/atom
total magnetic moment = 0.224 μB/atom